DFT (GGA+U) results for crystalline CoOF at its relaxed geometry.

```
data_CoOF
_cell_length_a 4.660
_cell_length_b 4.660
_cell_length_c 2.967
_cell_angle_alpha 90.00
_cell_angle_beta 90.00
_cell_angle_gamma 98.41
_space_group_name_H-M_alt 'P 1'
_space_group_IT_number 1
loop_
_space_group_symop_operation_xyz
'x,y,z'
loop_
_atom_site_label
_atom_site_fract_x
_atom_site_fract_y
_atom_site_fract_z
F1 0.191 0.809 0.500
F2 0.809 0.191 0.500
Co1 0.500 0.500 0.500
Co2 0.000 0.000 0.000
O1 0.305 0.305 0.000
O2 0.695 0.695 0.000
```

Output
space-group type = Cmmm
crystal system = orthorhombic
energy relative to the lowest polymorph listed for this composition = 0.0401 eV/atom